# KYZn2 SCAN PBEsol geometry
data_KYZn2
_chemical_formula_sum 'K4 Y4 Zn8'
_symmetry_space_group_name_H-M 'F -4 3 m'
_symmetry_Int_Tables_number 216
_symmetry_space_group_name_Hall 'F -4 2 3'
_cell_length_a 6.9853
_cell_length_b 6.9853
_cell_length_c 6.9853
_cell_angle_alpha 90.00
_cell_angle_beta 90.00
_cell_angle_gamma 90.00
loop_
_atom_site_label
_atom_site_fract_x
_atom_site_fract_y
_atom_site_fract_z
K1 0.0000 0.0000 0.0000
Y1 0.2500 0.2500 0.7500
Zn1 0.0000 0.0000 0.5000
Zn2 0.2500 0.2500 0.2500
# V: 21.30 A^3/atom
# DOS at the Fermi energy: 1.5 states/eV/cell
# Density: 5.04 Mg/m³
# Formation enthalpy at 0 K: 21.1 kJ per mole of atoms
# Final energy: -15.582 eV/atom

# MnNbO4 SCAN PBEsol geometry
data_MnNbO4
_chemical_formula_sum 'Mn2 Nb2 O8'
_symmetry_space_group_name_H-M 'I -4 m 2'
_symmetry_Int_Tables_number 119
_symmetry_space_group_name_Hall 'I -4 -2'
_cell_length_a 3.9138
_cell_length_b 3.9138
_cell_length_c 9.4535
_cell_angle_alpha 90.00
_cell_angle_beta 90.00
_cell_angle_gamma 90.00
loop_
_atom_site_label
_atom_site_fract_x
_atom_site_fract_y
_atom_site_fract_z
Mn1 0.0000 0.0000 0.0000
Nb1 0.0000 0.5000 0.2500
O1 0.0000 0.0000 0.2077
O2 0.0000 0.5000 0.0372
# V: 12.07 A^3/atom
# DOS at the Fermi energy: 2.0 states/eV/cell
# Density: 4.86 Mg/m³
# Final energy: -15.145 eV/atom

# BaSr2Mg SCAN PBEsol geometry
data_BaSr2Mg
_chemical_formula_sum 'Ba2 Sr4 Mg2'
_symmetry_space_group_name_H-M 'I m m m'
_symmetry_Int_Tables_number 71
_symmetry_space_group_name_Hall '-I 2 2'
_cell_length_a 4.3108
_cell_length_b 6.4665
_cell_length_c 13.2207
_cell_angle_alpha 90.00
_cell_angle_beta 90.00
_cell_angle_gamma 90.00
loop_
_atom_site_label
_atom_site_fract_x
_atom_site_fract_y
_atom_site_fract_z
Ba1 0.0000 0.0000 0.0000
Sr1 0.0000 0.5000 0.2125
Mg1 0.0000 0.0000 0.5000
# V: 46.07 A^3/atom
# DOS at the Fermi energy: 7.4 states/eV/cell
# Density: 3.04 Mg/m³
# Formation enthalpy at 0 K: 0.4 kJ per mole of atoms
# Final energy: -22.264 eV/atom

# CrRh2Br SCAN PBEsol geometry
data_CrRh2Br
_chemical_formula_sum 'Cr3 Rh6 Br3'
_symmetry_space_group_name_H-M 'R -3 m'
_symmetry_Int_Tables_number 166
_symmetry_space_group_name_Hall '-R 3 2"'
_cell_length_a 2.7644
_cell_length_b 2.7644
_cell_length_c 26.6614
_cell_angle_alpha 90.00
_cell_angle_beta 90.00
_cell_angle_gamma 120.00
loop_
_atom_site_label
_atom_site_fract_x
_atom_site_fract_y
_atom_site_fract_z
Cr1 0.0000 0.0000 0.0000
Rh1 0.0000 0.0000 0.2608
Br1 0.0000 0.0000 0.5000
# V: 14.70 A^3/atom
# DOS at the Fermi energy: 12.6 states/eV/cell
# Density: 9.53 Mg/m³
# Final energy: -25.888 eV/atom

# Ta3MoSe SCAN PBEsol geometry
data_Ta3MoSe
_chemical_formula_sum 'Ta3 Mo1 Se1'
_symmetry_space_group_name_H-M 'P m -3 m'
_symmetry_Int_Tables_number 221
_symmetry_space_group_name_Hall '-P 4 2 3'
_cell_length_a 4.7909
_cell_length_b 4.7909
_cell_length_c 4.7909
_cell_angle_alpha 90.00
_cell_angle_beta 90.00
_cell_angle_gamma 90.00
loop_
_atom_site_label
_atom_site_fract_x
_atom_site_fract_y
_atom_site_fract_z
Ta1 0.0000 0.0000 0.5000
Mo1 0.0000 0.0000 0.0000
Se1 0.5000 0.5000 0.5000
# V: 21.99 A^3/atom
# DOS at the Fermi energy: 2.6 states/eV/cell
# Density: 10.84 Mg/m³
# Final energy: -49.488 eV/atom

# ReNiAu2 SCAN PBEsol geometry
data_ReNiAu2
_chemical_formula_sum 'Re3 Ni3 Au6'
_symmetry_space_group_name_H-M 'R 3 m'
_symmetry_Int_Tables_number 160
_symmetry_space_group_name_Hall 'R 3 -2"'
_cell_length_a 2.7584
_cell_length_b 2.7584
_cell_length_c 27.0005
_cell_angle_alpha 90.00
_cell_angle_beta 90.00
_cell_angle_gamma 120.00
loop_
_atom_site_label
_atom_site_fract_x
_atom_site_fract_y
_atom_site_fract_z
Re1 0.0000 0.0000 0.0000
Ni1 0.0000 0.0000 0.7379
Au1 0.0000 0.0000 0.2448
Au2 0.0000 0.0000 0.4850
# V: 14.83 A^3/atom
# DOS at the Fermi energy: 9.6 states/eV/cell
# Density: 17.89 Mg/m³
# Formation enthalpy at 0 K: 19.0 kJ per mole of atoms
# Final energy: -56.199 eV/atom